1.
# Tb2DyAlS6 | Alexandria via LeMat-Bulk | GGA-PBE | relaxed
data_Tb2DyAlS6
_chemical_formula_sum 'Tb6 Dy3 Al3 S18'
_cell_length_a 6.7457
_cell_length_b 6.7457
_cell_length_c 17.7947
_cell_angle_alpha 90.00
_cell_angle_beta 90.00
_cell_angle_gamma 120.00
_space_group_name_H-M_alt 'R 3'
_space_group_IT_number 146
_space_group_name_Hall 'R 3'
loop_
_atom_site_label
_atom_site_type_symbol
_atom_site_fract_x
_atom_site_fract_y
_atom_site_fract_z
Tb1 Tb 0.0000 0.0000 0.0000
Tb2 Tb 0.0000 0.0000 0.4975
Dy1 Dy 0.0000 0.0000 0.2051
Al1 Al 0.0000 0.0000 0.7008
S1 S 0.0019 0.3769 0.4375
S2 S 0.0582 0.6863 0.2784
# * total moment: 0.000 μB per formula unit
# * raw formation energy: -1686 kJ/mol of formula units

=====

2.
# Na2ScTa | Alexandria via LeMat-Bulk | GGA-PBE | relaxed
data_Na2ScTa
_chemical_formula_sum 'Na8 Sc4 Ta4'
_cell_length_a 8.3937
_cell_length_b 8.3937
_cell_length_c 5.4414
_cell_angle_alpha 90.00
_cell_angle_beta 90.00
_cell_angle_gamma 90.00
_space_group_name_H-M_alt 'I -4 2 d'
_space_group_IT_number 122
_space_group_name_Hall 'I -4 2bw'
loop_
_atom_site_label
_atom_site_type_symbol
_atom_site_fract_x
_atom_site_fract_y
_atom_site_fract_z
Na1 Na 0.2474 0.2500 0.1250
Sc1 Sc 0.0000 0.0000 0.0000
Ta1 Ta 0.0000 0.0000 0.5000
# * total moment: 0.001 μB per formula unit
# * E above lowest polymorph: 0.033 eV/atom
# * formation energy: 1.236 eV per atom

=====

For each record above, in turn, the calculated N(E_F) values are 0.0; 19.8 states/eV per cell.